Record 1
Computed, not measured: Ti2SiSn at its PBEsol-relaxed geometry at the SCAN level of DFT.

The structure belongs to space group Fm-3m (No. 225); the cell edges are 6.4451, 6.4451 and 6.4451 Å and the angles 90.00°, 90.00° and 90.00°. The distinct sites, in fractional coordinates, are Ti at (0.2500, 0.2500, 0.2500), Si at (0.0000, 0.0000, 0.0000) and Sn at (0.0000, 0.0000, 0.5000).

Record 2
Computed, not measured: V6SiSn at its PBEsol-relaxed geometry at the SCAN level of DFT.

The structure belongs to space group Pm-3 (No. 200); the cell edges are 4.7778, 4.7778 and 4.7778 Å and the angles 90.00°, 90.00° and 90.00°. The distinct sites, in fractional coordinates, are V at (0.0000, 0.2340, 0.5000), Si at (0.0000, 0.0000, 0.0000) and Sn at (0.5000, 0.5000, 0.5000).

Record 3
Computed, not measured: ZnSi3Sn at its PBEsol-relaxed geometry at the SCAN level of DFT.

The structure belongs to space group Pm-3m (No. 221); the cell edges are 4.6614, 4.6614 and 4.6614 Å and the angles 90.00°, 90.00° and 90.00°. The distinct sites, in fractional coordinates, are Zn at (0.0000, 0.0000, 0.0000), Si at (0.0000, 0.0000, 0.5000) and Sn at (0.5000, 0.5000, 0.5000).

Record 4
Computed, not measured: Zr2Si2Sn at its PBEsol-relaxed geometry at the SCAN level of DFT.

The structure belongs to space group I4/mmm (No. 139); the cell edges are 3.4997, 3.4997 and 15.6955 Å and the angles 90.00°, 90.00° and 90.00°. The distinct sites, in fractional coordinates, are Zr at (0.0000, 0.0000, 0.1147), Si at (0.0000, 0.5000, 0.2500) and Sn at (0.0000, 0.0000, 0.5000).

Record 5
Computed, not measured: SrSi6 at its PBEsol-relaxed geometry at the SCAN level of DFT.

The structure belongs to space group Cmcm (No. 63); the cell edges are 4.4595, 10.2166 and 11.5880 Å and the angles 90.00°, 90.00° and 90.00°. The distinct sites, in fractional coordinates, are Sr at (0.0000, 0.2274, 0.2500), Si at (0.0000, 0.0575, 0.6470), Si at (0.0000, 0.2535, 0.5375) and Si at (0.0000, 0.4774, 0.6022).

Record 6
Computed, not measured: Sr2Si at its PBEsol-relaxed geometry at the SCAN level of DFT.

The structure belongs to space group Pnma (No. 62); the cell edges are 7.9620, 5.0799 and 9.5007 Å and the angles 90.00°, 90.00° and 90.00°. The distinct sites, in fractional coordinates, are Sr at (0.0193, 0.2500, 0.1764), Sr at (0.1531, 0.2500, 0.5776) and Si at (0.2483, 0.7500, 0.3969).

Record 7
Computed, not measured: SrSi5 at its PBEsol-relaxed geometry at the SCAN level of DFT.

The structure belongs to space group F-43m (No. 216); the cell edges are 7.4711, 7.4711 and 7.4711 Å and the angles 90.00°, 90.00° and 90.00°. The distinct sites, in fractional coordinates, are Sr at (0.0000, 0.0000, 0.0000), Si at (0.1230, 0.1230, 0.6230) and Si at (0.2500, 0.2500, 0.2500).

Record 8
Computed, not measured: Sr2Si at its PBEsol-relaxed geometry at the SCAN level of DFT.

The structure belongs to space group P6_3mc (No. 186); the cell edges are 5.3498, 5.3498 and 7.3648 Å and the angles 90.00°, 90.00° and 120.00°. The distinct sites, in fractional coordinates, are Sr at (0.0000, 0.0000, 0.0000), Sr at (0.3333, 0.6667, 0.2476) and Si at (0.3333, 0.6667, 0.7533).

| no. | formation energy without anion corrections (eV/f.u.) |
| --- | --- |
| 1 | -0.40 |
| 2 | -2.24 |
| 3 | 4.96 |
| 4 | -2.72 |
| 5 | -0.38 |
| 6 | -1.29 |
| 7 | 2.37 |
| 8 | -1.05 |